4
Lattice="4.130 0.000 0.000 -2.065 3.577 0.000 0.000 0.000 6.291" Properties=species:S:1:pos:R:3 comment="CrTe PBE relaxed" spacegroup="P6_3/mmc (194)" e_tot_ev_per_atom=-6.43 dos_at_fermi_per_ev_atom=0.480 raw_formation_energy_ev_per_atom=-0.048 m_tot_mub_per_cell=7.8 pbc="T T T"
Cr 0.000 0.000 0.000
Cr 0.000 0.000 3.145
Te 0.000 2.384 1.573
Te 2.065 1.192 4.718